Density functional theory data (GGA-PBE) for a relaxed Ti2BO crystal.

```
data_Ti2BO
_cell_length_a 4.699
_cell_length_b 4.699
_cell_length_c 5.884
_cell_angle_alpha 66.47
_cell_angle_beta 66.47
_cell_angle_gamma 90.00
_space_group_name_H-M_alt 'P 1'
_space_group_IT_number 1
_space_group_name_Hall 'P 1'
loop_
_atom_site_label
_atom_site_fract_x
_atom_site_fract_y
_atom_site_fract_z
B1 0.500 0.500 0.000
B2 0.250 0.750 0.500
O1 0.000 0.000 0.000
O2 0.750 0.250 0.500
Ti1 0.644 0.125 0.250
Ti2 0.106 0.625 0.250
Ti3 0.375 0.356 0.750
Ti4 0.875 0.894 0.750
```

Computed properties:
Total energy, eV for the cell shown: -63.92
Space group: I-42d (122)
Energy above the lowest structure with this stoichiometry, meV per atom: 108
E_form (uncorrected), eV per atom: -1.1331


Density functional theory data (GGA-PBE) for a relaxed TiBO3 crystal.

```
data_TiBO3
_cell_length_a 3.824
_cell_length_b 3.824
_cell_length_c 3.824
_cell_angle_alpha 90.00
_cell_angle_beta 90.00
_cell_angle_gamma 90.00
_space_group_name_H-M_alt 'P 1'
_space_group_IT_number 1
_space_group_name_Hall 'P 1'
loop_
_atom_site_label
_atom_site_fract_x
_atom_site_fract_y
_atom_site_fract_z
B1 0.500 0.500 0.500
O1 0.000 0.500 0.000
O2 0.000 0.000 0.500
O3 0.500 0.000 0.000
Ti1 0.000 0.000 0.000
```

Computed properties:
Total energy, eV for the cell shown: -33.29
Space group: Pm-3m (221)
E_form (uncorrected), eV per atom: -0.7682


Density functional theory data (GGA-PBE) for a relaxed Ti2BO6 crystal.

```
data_Ti2BO6
_cell_length_a 3.850
_cell_length_b 8.089
_cell_length_c 8.089
_cell_angle_alpha 102.56
_cell_angle_beta 103.82
_cell_angle_gamma 103.82
_space_group_name_H-M_alt 'P 1'
_space_group_IT_number 1
_space_group_name_Hall 'P 1'
loop_
_atom_site_label
_atom_site_fract_x
_atom_site_fract_y
_atom_site_fract_z
Ti1 0.227 0.348 0.154
Ti2 0.273 0.846 0.652
Ti3 0.773 0.652 0.846
Ti4 0.727 0.154 0.348
B1 0.250 0.751 0.249
B2 0.750 0.249 0.751
O1 0.222 0.190 0.313
O2 0.278 0.687 0.810
O3 0.778 0.810 0.687
O4 0.722 0.313 0.190
O5 0.862 0.224 0.589
O6 0.638 0.411 0.776
O7 0.138 0.776 0.411
O8 0.362 0.589 0.224
O9 0.049 0.275 0.914
O10 0.451 0.086 0.725
O11 0.951 0.725 0.086
O12 0.549 0.914 0.275
```

Computed properties:
Total energy, eV for the cell shown: -149.41
Space group: C2/c (15)
E_form (uncorrected), eV per atom: -2.4989


Density functional theory data (GGA-PBE) for a relaxed TiB2O4 crystal.

```
data_TiB2O4
_cell_length_a 4.837
_cell_length_b 4.915
_cell_length_c 4.860
_cell_angle_alpha 100.39
_cell_angle_beta 99.63
_cell_angle_gamma 130.81
_space_group_name_H-M_alt 'P 1'
_space_group_IT_number 1
_space_group_name_Hall 'P 1'
loop_
_atom_site_label
_atom_site_fract_x
_atom_site_fract_y
_atom_site_fract_z
Ti1 0.500 0.500 0.000
B1 0.250 0.750 0.501
B2 0.750 0.250 0.499
O1 0.497 0.169 0.673
O2 0.824 0.496 0.327
O3 0.176 0.504 0.673
O4 0.503 0.831 0.327
```

Computed properties:
Total energy, eV for the cell shown: -56.11
Space group: C2/m (12)
E_form (uncorrected), eV per atom: -2.1464


Density functional theory data (GGA-PBE) for a relaxed TiBO3 crystal.

```
data_TiBO3
_cell_length_a 5.687
_cell_length_b 5.687
_cell_length_c 5.687
_cell_angle_alpha 48.85
_cell_angle_beta 48.85
_cell_angle_gamma 48.85
_space_group_name_H-M_alt 'P 1'
_space_group_IT_number 1
_space_group_name_Hall 'P 1'
loop_
_atom_site_label
_atom_site_fract_x
_atom_site_fract_y
_atom_site_fract_z
Ti1 0.500 0.500 0.500
Ti2 0.000 0.000 0.000
B1 0.750 0.750 0.750
B2 0.250 0.250 0.250
O1 0.045 0.455 0.750
O2 0.455 0.750 0.045
O3 0.250 0.955 0.545
O4 0.955 0.545 0.250
O5 0.545 0.250 0.955
O6 0.750 0.045 0.455
```

Computed properties:
Total energy, eV for the cell shown: -84.69
Space group: R-3c (167)
E_form (uncorrected), eV per atom: -2.5799


Density functional theory data (GGA-PBE) for a relaxed Ti2BO crystal.

```
data_Ti2BO
_cell_length_a 3.343
_cell_length_b 3.343
_cell_length_c 6.270
_cell_angle_alpha 74.54
_cell_angle_beta 74.54
_cell_angle_gamma 60.00
_space_group_name_H-M_alt 'P 1'
_space_group_IT_number 1
_space_group_name_Hall 'P 1'
loop_
_atom_site_label
_atom_site_fract_x
_atom_site_fract_y
_atom_site_fract_z
B1 0.500 0.500 0.500
O1 0.000 0.000 0.000
Ti1 0.102 0.102 0.693
Ti2 0.898 0.898 0.307
```

Computed properties:
Total energy, eV for the cell shown: -32.39
Space group: R-3m (166)
Energy above the lowest structure with this stoichiometry, meV per atom: 0
E_form (uncorrected), eV per atom: -1.2411


Density functional theory data (GGA-PBE) for a relaxed Ti2BO crystal.

```
data_Ti2BO
_cell_length_a 3.910
_cell_length_b 3.910
_cell_length_c 3.910
_cell_angle_alpha 60.00
_cell_angle_beta 60.00
_cell_angle_gamma 60.00
_space_group_name_H-M_alt 'P 1'
_space_group_IT_number 1
_space_group_name_Hall 'P 1'
loop_
_atom_site_label
_atom_site_fract_x
_atom_site_fract_y
_atom_site_fract_z
B1 0.000 0.000 0.000
O1 0.500 0.500 0.500
Ti1 0.250 0.250 0.250
Ti2 0.750 0.750 0.750
```

Computed properties:
Total energy, eV for the cell shown: -30.15
Space group: Fm-3m (225)
Energy above the lowest structure with this stoichiometry, meV per atom: 560
E_form (uncorrected), eV per atom: -0.6808


Density functional theory data (GGA-PBE) for a relaxed TiBO6 crystal.

```
data_TiBO6
_cell_length_a 5.043
_cell_length_b 5.043
_cell_length_c 5.043
_cell_angle_alpha 60.00
_cell_angle_beta 60.00
_cell_angle_gamma 60.00
_space_group_name_H-M_alt 'P 1'
_space_group_IT_number 1
_space_group_name_Hall 'P 1'
loop_
_atom_site_label
_atom_site_fract_x
_atom_site_fract_y
_atom_site_fract_z
Ti1 0.500 0.500 0.500
B1 0.000 0.000 0.000
O1 0.772 0.772 0.228
O2 0.772 0.228 0.228
O3 0.228 0.772 0.772
O4 0.228 0.228 0.772
O5 0.228 0.772 0.228
O6 0.772 0.228 0.772
```

Computed properties:
Total energy, eV for the cell shown: -51.38
Space group: Fm-3m (225)
E_form (uncorrected), eV per atom: -0.8825


- Look up the total energy of the first one.
  -63.92 eV for the cell shown


Repeat the eighth record exactly.
Density functional theory data (GGA-PBE) for a relaxed TiBO6 crystal.

```
data_TiBO6
_cell_length_a 5.043
_cell_length_b 5.043
_cell_length_c 5.043
_cell_angle_alpha 60.00
_cell_angle_beta 60.00
_cell_angle_gamma 60.00
_space_group_name_H-M_alt 'P 1'
_space_group_IT_number 1
_space_group_name_Hall 'P 1'
loop_
_atom_site_label
_atom_site_fract_x
_atom_site_fract_y
_atom_site_fract_z
Ti1 0.500 0.500 0.500
B1 0.000 0.000 0.000
O1 0.772 0.772 0.228
O2 0.772 0.228 0.228
O3 0.228 0.772 0.772
O4 0.228 0.228 0.772
O5 0.228 0.772 0.228
O6 0.772 0.228 0.772
```

Computed properties:
Total energy, eV for the cell shown: -51.38
Space group: Fm-3m (225)
E_form (uncorrected), eV per atom: -0.8825


- Among the records above, which one has the highest E_form (uncorrected)?
  number 7


- Which of these has the highest E_form (uncorrected)?
  number 7